1.
V4PtRh2 | PBE | optimized geometry

abc: 4.606 4.606 12.341
angles: 90.00 90.00 90.00
Fractional positions:
V1 0.000 0.000 0.202
V2 0.000 0.000 0.798
V3 0.000 0.500 0.000
V4 0.000 0.500 0.500
V5 0.500 0.000 0.000
V6 0.500 0.000 0.500
V7 0.500 0.500 0.298
V8 0.500 0.500 0.702
Pt1 0.000 0.000 0.000
Pt2 0.500 0.500 0.500
Rh1 0.000 0.000 0.389
Rh2 0.000 0.000 0.611
Rh3 0.500 0.500 0.111
Rh4 0.500 0.500 0.889

## Properties
Size of the total moment = 0.4625 μB/atom
Symmetry = I4/mmm, No. 139
Calculated formation energy = 5.222 eV/f.u.
Uncorrected energy = -7.428 eV per atom



2.
Pr2B2Os2C | PBE | optimized geometry

abc: 11.018 3.800 6.876
angles: 90.00 125.77 90.00
Fractional positions:
Pr1 0.068 0.000 0.325
Pr2 0.432 0.500 0.675
Pr3 0.568 0.500 0.325
Pr4 0.932 0.000 0.675
B1 0.200 0.500 0.771
B2 0.300 0.000 0.229
B3 0.700 0.000 0.771
B4 0.800 0.500 0.229
Os1 0.201 0.500 0.093
Os2 0.299 0.000 0.907
Os3 0.701 0.000 0.093
Os4 0.799 0.500 0.907
C1 0.000 0.500 0.000
C2 0.500 0.000 0.000

## Properties
Size of the total moment = 0.0000 μB/atom
Symmetry = C2/m, No. 12
Calculated formation energy = -2.629 eV/f.u.
Uncorrected energy = -8.175 eV per atom



3.
Er8P3RhSe4 | PBE | optimized geometry

abc: 8.086 8.086 8.086
angles: 59.32 59.32 59.32
Fractional positions:
Er1 0.243 0.243 0.243
Er2 0.245 0.742 0.742
Er3 0.258 0.258 0.755
Er4 0.258 0.755 0.258
Er5 0.742 0.245 0.742
Er6 0.742 0.742 0.245
Er7 0.755 0.258 0.258
Er8 0.757 0.757 0.757
P1 0.000 0.000 0.500
P2 0.000 0.500 0.000
P3 0.500 0.000 0.000
Rh1 0.500 0.500 0.500
Se1 0.000 0.000 0.000
Se2 0.000 0.500 0.500
Se3 0.500 0.000 0.500
Se4 0.500 0.500 0.000

## Properties
Size of the total moment = 0.0000 μB/atom
Symmetry = R-3m, No. 166
Energy relative to the elements, uncorrected = -154.4 kJ/mol of atoms
Uncorrected energy = -6.226 eV per atom